<a>
Entry from Alexandria: a relaxed CaSbIrI2 crystal (PBE).

Cell lengths 5.798, 5.798, 6.377 Å; angles 90.00, 90.00, 90.00 degrees
Site moments in Bohr magnetons follow the coordinates.
Fractional positions:
I 0.500 0.000 0.000  0.01
I 0.000 0.500 0.000  0.01
Ir 0.500 0.500 0.500  2.29
Sb 0.000 0.000 0.500  -0.45
Ca 0.000 0.000 0.000  0.00

V = 42.87 A^3/atom



<b>
Entry from Alexandria: a relaxed CaSbIrI2 crystal (PBE).

Cell lengths 5.634, 5.634, 5.085 Å; angles 90.00, 90.00, 90.00 degrees
Fractional positions:
I 0.500 0.000 0.000
Sb 0.000 0.000 0.500
I 0.000 0.500 0.000
Ca 0.500 0.500 0.500
Ir 0.000 0.000 0.000

V = 32.28 A^3/atom



It is <b> that is the most stable of them.



<a>
Entry from Alexandria: a relaxed CaTe2IrI crystal (PBE).

Cell lengths 5.849, 5.849, 5.748 Å; angles 90.00, 90.00, 90.00 degrees
Site moments in Bohr magnetons follow the coordinates.
Fractional positions:
Te 0.000 0.500 0.000  0.16
I 0.000 0.000 0.500  0.15
Ca 0.000 0.000 0.000  0.00
Ir 0.500 0.500 0.500  2.09
Te 0.500 0.000 0.000  0.16

V = 39.33 A^3/atom



<b>
Entry from Alexandria: a relaxed CaTe2IrI crystal (PBE).

Cell lengths 5.339, 5.339, 5.471 Å; angles 90.00, 90.00, 90.00 degrees
Fractional positions:
I 0.000 0.000 0.500
Ca 0.500 0.500 0.500
Te 0.000 0.500 0.000
Ir 0.000 0.000 0.000
Te 0.500 0.000 0.000

V = 31.19 A^3/atom



It is <b> that is the most stable of them.



<a>
Entry from Alexandria: a relaxed KCa3I crystal (PBE).

Cell lengths 6.288, 6.288, 6.288 Å; angles 90.00, 90.00, 90.00 degrees
Fractional positions:
I 0.000 0.000 0.000
Ca 0.500 0.000 0.000
K 0.500 0.500 0.500
Ca 0.000 0.500 0.000
Ca 0.000 0.000 0.500

V = 49.72 A^3/atom



<b>
Entry from Alexandria: a relaxed KCa3I crystal (PBE).

Cell lengths 6.922, 6.922, 6.922 Å; angles 90.00, 90.00, 90.00 degrees
Fractional positions:
Ca 0.000 0.000 0.500
I 0.500 0.500 0.500
Ca 0.500 0.000 0.000
Ca 0.000 0.500 0.000
K 0.000 0.000 0.000

V = 66.32 A^3/atom



It is <a> that is the most stable of them.



<a>
Entry from Alexandria: a relaxed K3CaI crystal (PBE).

Cell lengths 7.567, 7.567, 7.567 Å; angles 90.00, 90.00, 90.00 degrees
Site moments in Bohr magnetons follow the coordinates.
Fractional positions:
K 0.000 0.000 0.500  0.01
Ca 0.000 0.000 0.000  0.11
I 0.500 0.500 0.500  0.04
K 0.500 0.000 0.000  0.04
K 0.000 0.500 0.000  0.03

V = 86.66 A^3/atom



<b>
Entry from Alexandria: a relaxed K3CaI crystal (PBE).

Cell lengths 6.820, 6.820, 6.820 Å; angles 90.00, 90.00, 90.00 degrees
Fractional positions:
K 0.000 0.000 0.500
K 0.500 0.000 0.000
I 0.000 0.000 0.000
Ca 0.500 0.500 0.500
K 0.000 0.500 0.000

V = 63.46 A^3/atom



It is <b> that is the most stable of them.



<a>
Entry from Alexandria: a relaxed KCaI2N crystal (PBE).

Cell lengths 6.310, 6.310, 4.807 Å; angles 90.00, 90.00, 90.00 degrees
Site moments in Bohr magnetons follow the coordinates.
Fractional positions:
I 0.500 0.000 0.000  0.03
Ca 0.000 0.000 0.000  0.00
I 0.000 0.500 0.000  0.03
K 0.500 0.500 0.500  0.00
N 0.000 0.000 0.500  1.15

V = 38.28 A^3/atom



<b>
Entry from Alexandria: a relaxed KCaI2N crystal (PBE).

Cell lengths 6.285, 6.285, 4.902 Å; angles 90.00, 90.00, 90.00 degrees
Site moments in Bohr magnetons follow the coordinates.
Fractional positions:
N 0.000 0.000 0.500  1.43
K 0.000 0.000 0.000  0.05
Ca 0.500 0.500 0.500  -0.04
I 0.000 0.500 0.000  0.02
I 0.500 0.000 0.000  0.02

V = 38.72 A^3/atom



It is <a> that is the most stable of them.



<a>
Entry from Alexandria: a relaxed KCaI2O crystal (PBE).

Cell lengths 6.209, 6.209, 4.632 Å; angles 90.00, 90.00, 90.00 degrees
Site moments in Bohr magnetons follow the coordinates.
Fractional positions:
O 0.000 0.000 0.500  -0.80
I 0.500 0.000 0.000  -0.01
Ca 0.500 0.500 0.500  0.01
K 0.000 0.000 0.000  -0.04
I 0.000 0.500 0.000  -0.01

V = 35.71 A^3/atom



<b>
Entry from Alexandria: a relaxed KCaI2O crystal (PBE).

Cell lengths 6.329, 6.329, 4.473 Å; angles 90.00, 90.00, 90.00 degrees
Site moments in Bohr magnetons follow the coordinates.
Fractional positions:
Ca 0.000 0.000 0.000  -0.01
I 0.500 0.000 0.000  0.06
K 0.500 0.500 0.500  0.00
O 0.000 0.000 0.500  0.66
I 0.000 0.500 0.000  0.06

V = 35.83 A^3/atom



It is <b> that is the most stable of them.



<a>
Entry from Alexandria: a relaxed Ca3LaI crystal (PBE).

Cell lengths 6.013, 6.013, 6.013 Å; angles 90.00, 90.00, 90.00 degrees
Site moments in Bohr magnetons follow the coordinates.
Fractional positions:
I 0.000 0.000 0.000  0.06
Ca 0.000 0.500 0.000  0.13
Ca 0.500 0.000 0.000  0.12
Ca 0.000 0.000 0.500  0.17
La 0.500 0.500 0.500  0.50

V = 43.47 A^3/atom



<b>
Entry from Alexandria: a relaxed Ca3LaI crystal (PBE).

Cell lengths 6.510, 6.510, 6.510 Å; angles 90.00, 90.00, 90.00 degrees
Site moments in Bohr magnetons follow the coordinates.
Fractional positions:
La 0.000 0.000 0.000  0.79
Ca 0.500 0.000 0.000  0.13
Ca 0.000 0.000 0.500  0.21
I 0.500 0.500 0.500  0.09
Ca 0.000 0.500 0.000  0.19

V = 55.18 A^3/atom



It is <a> that is the most stable of them.



<a>
Entry from Alexandria: a relaxed CaLaIN2 crystal (PBE).

Cell lengths 4.515, 4.515, 6.246 Å; angles 90.00, 90.00, 90.00 degrees
Site moments in Bohr magnetons follow the coordinates.
Fractional positions:
La 0.000 0.000 0.000  0.06
N 0.000 0.500 0.000  0.12
N 0.500 0.000 0.000  0.12
Ca 0.500 0.500 0.500  0.00
I 0.000 0.000 0.500  0.00

V = 25.47 A^3/atom



<b>
Entry from Alexandria: a relaxed CaLaIN2 crystal (PBE).

Cell lengths 4.609, 4.609, 5.566 Å; angles 90.00, 90.00, 90.00 degrees
Site moments in Bohr magnetons follow the coordinates.
Fractional positions:
Ca 0.000 0.000 0.000  0.04
N 0.000 0.500 0.000  0.76
La 0.500 0.500 0.500  -0.13
I 0.000 0.000 0.500  0.01
N 0.500 0.000 0.000  0.76

V = 23.64 A^3/atom



It is <a> that is the most stable of them.



<a>
Entry from Alexandria: a relaxed CaLaIO2 crystal (PBE).

Cell lengths 4.318, 7.227, 8.222 Å; angles 102.43, 90.00, 90.00 degrees
Fractional positions:
O 0.750 0.519 0.387
La 0.250 0.654 0.398
I 0.250 0.028 0.762
O 0.250 0.481 0.613
O 0.750 0.504 0.867
I 0.750 0.972 0.238
Ca 0.250 0.624 0.901
La 0.750 0.346 0.602
Ca 0.750 0.376 0.099
O 0.250 0.496 0.133

V = 25.06 A^3/atom



<b>
Entry from Alexandria: a relaxed CaLaIO2 crystal (PBE).

Cell lengths 4.555, 4.555, 5.500 Å; angles 90.00, 90.00, 90.00 degrees
Site moments in Bohr magnetons follow the coordinates.
Fractional positions:
I 0.000 0.000 0.500  0.00
O 0.500 0.000 0.000  -0.14
La 0.500 0.500 0.500  0.03
O 0.000 0.500 0.000  -0.14
Ca 0.000 0.000 0.000  0.01

V = 22.82 A^3/atom



It is <a> that is the most stable of them.



<a>
Entry from Alexandria: a relaxed CaLaI2O crystal (PBE).

Cell lengths 6.643, 6.643, 4.305 Å; angles 90.00, 90.00, 90.00 degrees
Fractional positions:
I 0.000 0.500 0.000
I 0.500 0.000 0.000
Ca 0.500 0.500 0.500
O 0.000 0.000 0.500
La 0.000 0.000 0.000

V = 37.99 A^3/atom



<b>
Entry from Alexandria: a relaxed CaLaI2O crystal (PBE).

Cell lengths 6.053, 6.053, 4.208 Å; angles 90.00, 90.00, 90.00 degrees
Site moments in Bohr magnetons follow the coordinates.
Fractional positions:
I 0.500 0.000 0.000  0.00
Ca 0.000 0.000 0.000  0.00
La 0.500 0.500 0.500  0.28
O 0.000 0.000 0.500  -0.01
I 0.000 0.500 0.000  0.00

V = 30.84 A^3/atom



It is <a> that is the most stable of them.



<a>
Entry from Alexandria: a relaxed CaLaSbI2 crystal (PBE).

Cell lengths 5.665, 5.665, 6.293 Å; angles 90.00, 90.00, 90.00 degrees
Site moments in Bohr magnetons follow the coordinates.
Fractional positions:
La 0.500 0.500 0.500  0.22
I 0.000 0.500 0.000  0.00
Ca 0.000 0.000 0.000  0.00
I 0.500 0.000 0.000  0.00
Sb 0.000 0.000 0.500  -0.01

V = 40.40 A^3/atom



<b>
Entry from Alexandria: a relaxed CaLaSbI2 crystal (PBE).

Cell lengths 6.108, 6.108, 6.364 Å; angles 90.00, 90.00, 90.00 degrees
Fractional positions:
I 0.000 0.500 0.000
Sb 0.000 0.000 0.500
La 0.000 0.000 0.000
I 0.500 0.000 0.000
Ca 0.500 0.500 0.500

V = 47.48 A^3/atom



It is <b> that is the most stable of them.



<a>
Entry from Alexandria: a relaxed CaLaTe2I crystal (PBE).

Cell lengths 5.868, 5.868, 5.632 Å; angles 90.00, 90.00, 90.00 degrees
Site moments in Bohr magnetons follow the coordinates.
Fractional positions:
Te 0.500 0.000 0.000  -0.01
I 0.000 0.000 0.500  0.00
Te 0.000 0.500 0.000  -0.01
La 0.500 0.500 0.500  0.20
Ca 0.000 0.000 0.000  0.00

V = 38.78 A^3/atom



<b>
Entry from Alexandria: a relaxed CaLaTe2I crystal (PBE).

Cell lengths 6.178, 6.178, 6.057 Å; angles 90.00, 90.00, 90.00 degrees
Fractional positions:
Ca 0.500 0.500 0.500
I 0.000 0.000 0.500
Te 0.500 0.000 0.000
La 0.000 0.000 0.000
Te 0.000 0.500 0.000

V = 46.23 A^3/atom



It is <b> that is the most stable of them.



<a>
Entry from Alexandria: a relaxed LiCaI crystal (PBE).

Cell lengths 7.373, 8.620, 8.620 Å; angles 56.96, 69.88, 69.88 degrees
Fractional positions:
Li 0.435 0.056 0.806
Ca 0.053 0.974 0.224
I 0.252 0.629 0.879
I 0.748 0.371 0.121
Ca 0.947 0.526 0.276
Li 0.565 0.444 0.694
Li 0.435 0.556 0.306
Ca 0.947 0.026 0.776
I 0.252 0.129 0.379
Li 0.565 0.944 0.194
I 0.748 0.871 0.621
Ca 0.053 0.474 0.724

V = 35.22 A^3/atom



<b>
Entry from Alexandria: a relaxed LiCaI crystal (PBE).

Cell lengths 4.114, 4.888, 4.888 Å; angles 120.00, 90.00, 90.00 degrees
Fractional positions:
I 0.167 0.333 0.667
Li 0.166 0.000 0.000
Ca 0.667 0.667 0.333

V = 28.38 A^3/atom



It is <a> that is the most stable of them.



<a>
Entry from Alexandria: a relaxed LiCa2I crystal (PBE).

Cell lengths 8.669, 8.669, 7.274 Å; angles 53.42, 53.42, 90.00 degrees
Fractional positions:
Ca 0.626 0.125 0.250
I 0.750 0.250 0.500
Li 0.500 0.500 0.000
Ca 0.124 0.625 0.250
Li 0.250 0.750 0.500
Ca 0.875 0.876 0.750
Ca 0.375 0.374 0.750
I 0.000 0.000 0.000

V = 36.79 A^3/atom



<b>
Entry from Alexandria: a relaxed LiCa2I crystal (PBE).

Cell lengths 5.722, 5.722, 5.722 Å; angles 60.00, 60.00, 60.00 degrees
Fractional positions:
Ca 0.750 0.750 0.750
Ca 0.250 0.250 0.250
Li 0.000 0.000 0.000
I 0.500 0.500 0.500

V = 33.12 A^3/atom



It is <a> that is the most stable of them.